[1]
First-principles (PBE) data for a relaxed structure of LaPr5Er2Th, as listed in Alexandria via LeMat-Bulk.

```
LaPr5Er2Th
1.0
5.7642 0.0000 0.0000
-2.8821 10.2415 0.0000
0.0000 0.0000 10.6905
Pr Th La Er
10 2 2 4
Direct
0.3839 0.7679 0.0269 Pr
0.7219 0.4437 0.8156 Pr
0.0151 0.0302 0.0243 Pr
0.9849 0.9698 0.5243 Pr
0.2781 0.5563 0.3156 Pr
0.2905 0.5810 0.7011 Pr
0.7095 0.4190 0.2011 Pr
0.6161 0.2321 0.5269 Pr
0.4777 0.9554 0.7410 Pr
0.5223 0.0446 0.2410 Pr
0.1978 0.3957 0.0132 Th
0.8022 0.6043 0.5132 Th
0.4141 0.8282 0.4471 La
0.5859 0.1718 0.9471 La
0.1117 0.2235 0.7381 Er
0.8883 0.7765 0.2381 Er
0.1161 0.2323 0.3167 Er
0.8839 0.7677 0.8167 Er
```

Properties
The value obtained for the formation enthalpy at 0 K is 159 meV per atom. The calculation puts the density of states at the Fermi level at 25.78 states/eV per cell.

[2]
First-principles (PBE) data for a relaxed structure of K2MgTl3In4, as listed in Alexandria via LeMat-Bulk.

```
K2MgTl3In4
1.0
-4.6632 -1.2592 -0.3737
1.3125 -4.4127 -1.5087
0.1453 -4.3641 12.8907
In K Tl Mg
4 2 3 1
Direct
0.0000 0.0000 0.0000 In
0.5000 0.5000 0.0000 In
0.5000 0.0000 0.6357 In
0.0000 0.5000 0.3643 In
0.5000 0.0000 0.2497 K
0.0000 0.5000 0.7503 K
0.5000 0.0000 0.8558 Tl
0.0000 0.5000 0.1442 Tl
0.0000 0.0000 0.5000 Tl
0.5000 0.5000 0.5000 Mg
```

Properties
The value obtained for the formation enthalpy at 0 K is -68 meV per atom. The calculation puts the density of states at the Fermi level at 2.16 states/eV per cell.

[3]
First-principles (PBE) data for a relaxed structure of MgCdAs2, as listed in Alexandria via LeMat-Bulk.

```
MgCdAs2
1.0
-0.0432 0.9711 -3.8351
-1.3415 -3.6117 -0.8994
-5.2674 1.8266 0.5218
As Cd Mg
2 1 1
Direct
0.5000 0.5000 0.3748 As
0.0000 0.0000 0.8752 As
0.0000 0.0000 0.3751 Cd
0.5000 0.5000 0.8749 Mg
```

Properties
The value obtained for the formation enthalpy at 0 K is -81 meV per atom. The calculation puts the density of states at the Fermi level at 3.39 states/eV per cell.

[4]
First-principles (PBE) data for a relaxed structure of Ho11Er9Tm4, as listed in Alexandria via LeMat-Bulk.

```
Ho11Er9Tm4
1.0
-2.6402 -1.8800 -1.5774
9.8999 -10.2828 -4.3148
-5.9374 -2.8813 13.3719
Ho Tm Er
11 4 9
Direct
0.0000 0.7074 0.7074 Ho
0.0000 0.2926 0.2926 Ho
0.0000 0.8403 0.1597 Ho
0.0000 0.3677 0.6323 Ho
0.0000 0.0446 0.4068 Ho
0.0000 0.1597 0.8403 Ho
0.0000 0.0000 0.0000 Ho
0.0000 0.4068 0.0446 Ho
0.0000 0.9554 0.5932 Ho
0.0000 0.6323 0.3677 Ho
0.0000 0.5932 0.9554 Ho
0.5000 0.5541 0.7564 Tm
0.5000 0.4459 0.2436 Tm
0.5000 0.2436 0.4459 Tm
0.5000 0.7564 0.5541 Tm
0.5000 0.9308 0.7855 Er
0.5000 0.7855 0.9308 Er
0.5000 0.3687 0.8355 Er
0.5000 0.0692 0.2145 Er
0.5000 0.5000 0.5000 Er
0.5000 0.8355 0.3687 Er
0.5000 0.2145 0.0692 Er
0.5000 0.1645 0.6313 Er
0.5000 0.6313 0.1645 Er
```

Properties
The value obtained for the formation enthalpy at 0 K is 51 meV per atom. The calculation puts the density of states at the Fermi level at 30.51 states/eV per cell.

[5]
First-principles (PBE) data for a relaxed structure of Sc2Ga2Ni, as listed in Alexandria via LeMat-Bulk.

```
Sc2Ga2Ni
1.0
-0.7381 5.3202 -0.9449
-2.9873 0.4523 4.8806
6.7321 -1.7008 0.9028
Ga Sc Ni
4 4 2
Direct
0.4193 0.7461 0.8386 Ga
0.5807 0.2539 0.1614 Ga
0.0807 0.9075 0.1614 Ga
0.9193 0.0925 0.8386 Ga
0.6671 0.8775 0.3341 Sc
0.3329 0.1225 0.6659 Sc
0.8329 0.5434 0.6659 Sc
0.1671 0.4566 0.3341 Sc
0.7500 0.5000 0.0000 Ni
0.2500 0.5000 0.0000 Ni
```

Properties
The value obtained for the formation enthalpy at 0 K is -491 meV per atom. The calculation puts the density of states at the Fermi level at 9.61 states/eV per cell.

[6]
First-principles (PBE) data for a relaxed structure of SrLaB, as listed in Alexandria via LeMat-Bulk.

```
SrLaB
1.0
-2.2799 -3.8534 -1.9008
-4.8129 0.1198 -0.6937
-1.8020 0.2222 -4.5125
Sr La B
1 1 1
Direct
0.7500 0.7500 0.7500 Sr
0.2500 0.2500 0.2500 La
0.0000 0.0000 0.0000 B
```

Properties
The value obtained for the formation enthalpy at 0 K is 390 meV per atom. The calculation puts the density of states at the Fermi level at 1.19 states/eV per cell.

[7]
First-principles (PBE) data for a relaxed structure of K2NaUSe6, as listed in Alexandria via LeMat-Bulk.

```
K2NaUSe6
1.0
-3.6529 -0.3756 -6.8133
-4.5672 -5.6073 2.7578
-7.6950 0.7718 -0.3132
K Na Se U
2 1 6 1
Direct
0.2500 0.7500 0.5000 K
0.7500 0.2500 0.5000 K
0.0000 0.0000 0.0000 Na
0.7419 0.7419 0.0000 Se
0.7419 0.2581 0.0000 Se
0.2581 0.2581 0.4837 Se
0.2581 0.7419 0.0000 Se
0.7419 0.7419 0.5163 Se
0.2581 0.2581 0.0000 Se
0.5000 0.5000 0.0000 U
```

Properties
Its total energy is -43.7 eV/f.u. The calculation puts the density of states at the Fermi level at 8.28 states/eV per cell.

[8]
First-principles (PBE) data for a relaxed structure of MnCdIrI2, as listed in Alexandria via LeMat-Bulk.

```
MnCdIrI2
1.0
5.6731 0.0000 0.0000
0.0000 5.2210 0.0000
0.0000 0.0000 5.6731
I Ir Cd Mn
2 1 1 1
Direct
0.5000 0.0000 0.0000 I
0.0000 0.0000 0.5000 I
0.0000 0.5000 0.0000 Ir
0.0000 0.0000 0.0000 Cd
0.5000 0.5000 0.5000 Mn
```

Properties
Its total energy is -15.4 eV/f.u. The calculation puts the density of states at the Fermi level at 5.21 states/eV per cell.

[9]
First-principles (PBE) data for a relaxed structure of NaGaBr3, as listed in Alexandria via LeMat-Bulk.

```
NaGaBr3
1.0
5.5498 0.0000 0.0000
0.0000 5.5498 0.0000
0.0000 0.0000 5.5498
Ga Br Na
1 3 1
Direct
0.5000 0.5000 0.5000 Ga
0.0000 0.0000 0.5000 Br
0.5000 0.0000 0.0000 Br
0.0000 0.5000 0.0000 Br
0.0000 0.0000 0.0000 Na
```

Properties
Its total energy is -11.8 eV/f.u. The calculation puts the density of states at the Fermi level at 6.92 states/eV per cell.

[10]
First-principles (PBE) data for a relaxed structure of HgRhCl2, as listed in Alexandria via LeMat-Bulk.

```
HgRhCl2
1.0
5.6468 0.0007 0.2419
4.6440 3.2125 0.2419
2.5588 0.7990 5.8806
Hg Cl Rh
1 2 1
Direct
0.5635 0.5635 0.3750 Hg
0.8938 0.8938 0.0870 Cl
0.7362 0.7362 0.6631 Cl
0.3065 0.3065 0.3749 Rh
```

Properties
Its total energy is -12.5 eV/f.u. The calculation puts the density of states at the Fermi level at 0.88 states/eV per cell.